[1]
Below is a relaxed structure of Sm2Cd16In, with properties calculated at the PBE level.

D(E_F) ... 5.05 states/eV/f.u.
Energy of formation from the pure elements ... -246 kJ/mol of formula units

Geometry as POSCAR:
```
Sm2Cd16In
1.0
-7.464 -0.212 -1.803
-1.719 -6.469 3.768
-2.636 3.294 6.419
Cd Sm In
16 2 1
Direct
0.134 0.656 0.656
0.372 0.794 0.372
0.473 0.023 0.023
0.656 0.134 0.656
0.023 0.473 0.023
0.998 0.694 0.309
0.372 0.372 0.794
0.794 0.372 0.372
0.694 0.309 0.998
0.998 0.309 0.694
0.023 0.023 0.473
0.656 0.656 0.134
0.694 0.998 0.309
0.309 0.998 0.694
0.309 0.694 0.998
0.092 0.092 0.092
0.674 0.674 0.674
0.332 0.332 0.332
0.897 0.897 0.897
```

---

[2]
Below is a relaxed structure of NaAg2Br8, with properties calculated at the PBE level.

D(E_F) ... 3.69 states/eV/f.u.
Formation energy (no corrections) ... -306 kJ/mol of formula units

Geometry as POSCAR:
```
NaAg2Br8
1.0
-5.274 -2.200 5.342
5.646 -3.495 4.135
0.680 7.545 -1.950
Br Ag Na
8 2 1
Direct
0.909 0.833 0.238
0.833 0.329 0.238
0.091 0.595 0.762
0.329 0.405 0.238
0.167 0.091 0.762
0.595 0.671 0.762
0.405 0.909 0.238
0.671 0.167 0.762
0.250 0.750 0.500
0.750 0.250 0.500
0.500 0.500 0.000
```

---

[3]
Below is a relaxed structure of V4Re2Ni, with properties calculated at the PBE level.

D(E_F) ... 9.12 states/eV/f.u.
Energy of formation from the pure elements ... 598 kJ/mol of formula units

Geometry as POSCAR:
```
V4Re2Ni
1.0
4.248 0.000 0.000
0.000 4.248 0.000
2.124 2.124 6.221
Re Ni V
2 1 4
Direct
0.379 0.379 0.242
0.621 0.621 0.758
0.000 0.000 0.000
0.191 0.191 0.618
0.500 0.000 0.000
0.809 0.809 0.382
0.000 0.500 0.000
```

---

The volume results, record by record, are as follows: 23.33 30.77 16.04 Å³ per atom.